[1]
Below is crystalline Ta6Fe5W at its relaxed geometry, with properties calculated at the PBE level.

Output
- formation energy (eV/atom) = -0.12
- V (Å³/cell) = 179

Cell lengths 4.3892, 6.2034, 6.9211 Å; angles 90.00, 71.43, 90.00 degrees
Last column: nearest neighbours and their distance in Å.
Sites, in units of the cell vectors:
Fe (0.3305, 0.0000, 0.3384)  8 Ta 2.64-2.73
Fe (0.3329, 0.5000, 0.3340)  8 Ta 2.64-2.68
Fe (0.6671, 0.5000, 0.6660)  8 Ta 2.64-2.68
Ta (0.1691, 0.2527, 0.6618)  7 Fe 2.64-2.70, 1 W 2.72
Fe (0.6695, 0.0000, 0.6616)  8 Ta 2.64-2.73
Ta (0.5000, 0.2562, 0.0000)  6 Fe 2.66-2.73, 2 W 2.71
Ta (0.1691, 0.7473, 0.6618)  7 Fe 2.64-2.70, 1 W 2.72
Ta (0.8309, 0.7473, 0.3382)  7 Fe 2.64-2.70, 1 W 2.72
Fe (0.0000, 0.5000, 0.0000)  8 Ta 2.67-2.70
W (0.0000, 0.0000, 0.0000)  8 Ta 2.71-2.72
Ta (0.5000, 0.7438, 0.0000)  6 Fe 2.66-2.73, 2 W 2.71
Ta (0.8309, 0.2527, 0.3382)  7 Fe 2.64-2.70, 1 W 2.72

=====

[2]
Below is crystalline AcMgPb3 at its relaxed geometry, with properties calculated at the PBE level.

Output
- formation energy (eV/atom) = -0.19
- energy relative to the lowest polymorph listed for this composition (eV per atom) = 0.000
- V (Å³/cell) = 318

Cell lengths 5.4443, 7.4951, 7.7928 Å; angles 90.00, 90.00, 90.00 degrees
Last column: nearest neighbours and their distance in Å.
Sites, in units of the cell vectors:
Ac (0.0000, 0.5000, 0.7859)  8 Pb 3.51-3.91, 2 Mg 3.84
Pb (0.0000, 0.2936, 0.2945)  3 Mg 3.02-3.33, 1 Pb 3.09
Pb (0.0000, 0.7064, 0.2945)  3 Mg 3.02-3.33, 1 Pb 3.09
Ac (0.5000, 0.0000, 0.2141)  8 Pb 3.51-3.91, 2 Mg 3.84
Pb (0.5000, 0.7936, 0.7055)  3 Mg 3.02-3.33, 1 Pb 3.09
Pb (0.5000, 0.5000, 0.0705)  1 Mg 2.87
Pb (0.0000, 0.0000, 0.9295)  1 Mg 2.87
Pb (0.5000, 0.2064, 0.7055)  3 Mg 3.02-3.33, 1 Pb 3.09
Mg (0.5000, 0.5000, 0.4392)  3 Pb 2.87-3.02
Mg (0.0000, 0.0000, 0.5608)  3 Pb 2.87-3.02

=====

[3]
Below is crystalline Nb2MoCl at its relaxed geometry, with properties calculated at the PBE level.

Output
- energy relative to the lowest polymorph listed for this composition (eV per atom) = 0.000
- ΔE_f (raw) (eV per atom) = 0.64
- V (Å³/cell) = 69

Cell lengths 4.5977, 4.5977, 4.5977 Å; angles 60.00, 60.00, 60.00 degrees
Last column: nearest neighbours and their distance in Å.
Sites, in units of the cell vectors:
Cl (0.0000, 0.0000, 0.0000)  8 Nb 2.82
Mo (0.5000, 0.5000, 0.5000)  8 Nb 2.82
Nb (0.7500, 0.7500, 0.7500)  4 Cl 2.82, 4 Mo 2.82
Nb (0.2500, 0.2500, 0.2500)  4 Mo 2.82, 4 Cl 2.82

=====

[4]
Below is crystalline SmY6Al2 at its relaxed geometry, with properties calculated at the PBE level.

Output
- formation energy (eV/atom) = -0.17
- V (Å³/cell) = 262

Cell lengths 3.6924, 6.5680, 11.6876 Å; angles 75.25, 80.91, 73.67 degrees
Last column: nearest neighbours and their distance in Å.
Sites, in units of the cell vectors:
Y (0.9792, 0.7104, 0.3313)  2 Al 3.10, 1 Y 3.46
Sm (0.0000, 0.0000, 0.0000)  4 Al 3.18
Y (0.0208, 0.2896, 0.6687)  2 Al 3.10, 1 Y 3.46
Al (0.3510, 0.0891, 0.2089)  6 Y 3.10-3.20, 2 Sm 3.18
Al (0.6490, 0.9109, 0.7911)  6 Y 3.10-3.20, 2 Sm 3.18
Y (0.3099, 0.7924, 0.5877)  2 Al 3.20, 4 Y 3.41-3.46
Y (0.6893, 0.4962, 0.1252)  2 Al 3.13, 5 Y 3.41-3.51
Y (0.6901, 0.2076, 0.4123)  2 Al 3.20, 4 Y 3.41-3.46
Y (0.3107, 0.5038, 0.8748)  2 Al 3.13, 5 Y 3.41-3.51

=====

[5]
Below is crystalline NaCaHfMoPd at its relaxed geometry, with properties calculated at the PBE level.

Output
- formation energy (eV/atom) = 0.20
- energy relative to the lowest polymorph listed for this composition (eV per atom) = 0.156
- V (Å³/cell) = 117

Cell lengths 3.2671, 4.4789, 7.9923 Å; angles 90.00, 90.00, 90.00 degrees
Last column: nearest neighbours and their distance in Å.
Sites, in units of the cell vectors:
Na (0.0000, 0.5000, 0.8021)  4 Pd 2.88
Mo (0.0000, 0.0000, 0.1652)  2 Pd 2.67, 4 Hf 2.77
Hf (0.5000, 0.5000, 0.1718)  4 Mo 2.77
Ca (0.5000, 0.0000, 0.5087)  1 Pd 3.13, 2 Mo 3.19, 2 Ca 3.27, 2 Hf 3.50
Pd (0.5000, 0.0000, 0.9008)  2 Mo 2.67, 4 Na 2.88

=====

[6]
Below is crystalline KInH2 at its relaxed geometry, with properties calculated at the PBE level.

Output
- energy relative to the lowest polymorph listed for this composition (eV per atom) = 0.265
- V (Å³/cell) = 72

Cell lengths 4.6797, 4.6797, 4.6797 Å; angles 60.00, 60.00, 60.00 degrees
Last column: nearest neighbours and their distance in Å.
Sites, in units of the cell vectors:
K (0.0000, 0.0000, 0.0000)  8 H 2.87
In (0.5000, 0.5000, 0.5000)  8 H 2.87
H (0.7500, 0.7500, 0.7500)  4 K 2.87, 4 In 2.87
H (0.2500, 0.2500, 0.2500)  4 In 2.87, 4 K 2.87

=====

[7]
Below is crystalline KTa2Te at its relaxed geometry, with properties calculated at the PBE level.

Output
- ΔE_f (raw) (eV per atom) = 0.88
- V (Å³/cell) = 96

Cell lengths 5.8692, 3.0035, 5.4358 Å; angles 93.26, 90.00, 90.00 degrees
Last column: nearest neighbours and their distance in Å.
Sites, in units of the cell vectors:
Ta (0.0000, 0.3825, 0.5218)  1 Ta 2.65
Ta (0.0000, 0.1175, 0.9782)  1 Ta 2.65
Te (0.5000, 0.2500, 0.2500)  2 Te 3.00, 4 K 3.03-3.18, 4 Ta 3.30
K (0.5000, 0.7500, 0.7500)  2 K 3.00, 4 Te 3.03-3.18, 4 Ta 3.35

=====

[8]
Below is crystalline CePm2Ho at its relaxed geometry, with properties calculated at the PBE level.

Output
- formation energy (eV/atom) = 0.07
- energy relative to the lowest polymorph listed for this composition (eV per atom) = 0.000
- V (Å³/cell) = 130

Cell lengths 3.5787, 3.5787, 11.8630 Å; angles 81.32, 81.32, 60.00 degrees
Last column: nearest neighbours and their distance in Å.
Sites, in units of the cell vectors:
Ho (0.6666, 0.6666, 0.0001)  6 Pm 3.57-3.58, 6 Ho 3.58
Ce (0.5003, 0.5003, 0.4991)  6 Pm 3.57-3.59, 6 Ce 3.58
Pm (0.2499, 0.2499, 0.2502)  3 Ce 3.57, 3 Ho 3.58, 6 Pm 3.58
Pm (0.0831, 0.0831, 0.7506)  3 Ho 3.57, 6 Pm 3.58, 3 Ce 3.59

=====

[9]
Below is crystalline PrDy4HoEr2 at its relaxed geometry, with properties calculated at the PBE level.

Output
- formation energy (eV/atom) = 0.44
- V (Å³/cell) = 527

Cell lengths 9.4731, 9.4731, 11.7389 Å; angles 128.29, 128.29, 88.61 degrees
Last column: nearest neighbours and their distance in Å.
Sites, in units of the cell vectors:
Dy (0.7487, 0.7495, 0.4959)  3 Er 3.30-3.36, 1 Ho 3.31, 2 Dy 3.39, 2 Pr 3.42
Dy (0.2495, 0.2487, 0.9959)  3 Er 3.30-3.36, 1 Ho 3.31, 2 Dy 3.39, 2 Pr 3.42-3.43
Pr (0.0000, 0.0000, 0.0000)  6 Dy 3.36-3.42, 2 Pr 3.39
Er (0.5000, 0.0000, 0.5000)  6 Dy 3.30-3.39, 2 Ho 3.39
Er (0.5000, 0.5000, 0.0000)  6 Dy 3.26-3.36, 2 Er 3.39
Dy (0.2540, 0.7461, 0.0005)  3 Er 3.26-3.39, 1 Pr 3.36, 2 Ho 3.39, 2 Dy 3.39
Er (0.0000, 0.0000, 0.5000)  6 Dy 3.26-3.36, 2 Er 3.39
Er (0.5000, 0.0000, 0.0000)  6 Dy 3.30-3.39, 2 Ho 3.39
Dy (0.7460, 0.2539, 0.9995)  3 Er 3.26-3.39, 1 Pr 3.36, 2 Ho 3.39, 2 Dy 3.39
Dy (0.2513, 0.2505, 0.5041)  3 Er 3.30-3.36, 1 Ho 3.31, 2 Dy 3.39, 2 Pr 3.42
Ho (0.0000, 0.5000, 0.0000)  6 Dy 3.31-3.39, 2 Er 3.39
Pr (0.5000, 0.5000, 0.5000)  6 Dy 3.36-3.43, 2 Pr 3.39
Dy (0.7539, 0.2460, 0.4995)  3 Er 3.26-3.39, 1 Pr 3.36, 2 Ho 3.39, 2 Dy 3.39
Ho (0.0000, 0.5000, 0.5000)  6 Dy 3.31-3.39, 2 Er 3.39
Dy (0.7505, 0.7513, 0.0041)  3 Er 3.30-3.36, 1 Ho 3.31, 2 Dy 3.39, 2 Pr 3.42
Dy (0.2461, 0.7540, 0.5005)  3 Er 3.26-3.39, 1 Pr 3.36, 2 Ho 3.39, 2 Dy 3.39

=====

[10]
Below is crystalline Sr2Tl2Bi at its relaxed geometry, with properties calculated at the PBE level.

Output
- formation energy (eV/atom) = -0.04
- energy relative to the lowest polymorph listed for this composition (eV per atom) = 0.389
- V (Å³/cell) = 195

Cell lengths 5.4780, 5.4780, 7.5519 Å; angles 68.73, 68.73, 90.00 degrees
Last column: nearest neighbours and their distance in Å.
Sites, in units of the cell vectors:
Bi (0.0000, 0.0000, 0.0000)  8 Tl 4.11, 8 Sr 4.24
Sr (0.2500, 0.7500, 0.5000)  4 Tl 3.32
Sr (0.7500, 0.2500, 0.5000)  4 Tl 3.32
Tl (0.6053, 0.6053, 0.7894)  1 Tl 2.73
Tl (0.3947, 0.3947, 0.2106)  1 Tl 2.73

=====

[11]
Below is crystalline CuAsPd2 at its relaxed geometry, with properties calculated at the PBE level.

Output
- formation energy (eV/atom) = -0.20
- V (Å³/cell) = 60

Cell lengths 3.2326, 3.2326, 5.7386 Å; angles 90.00, 90.00, 90.00 degrees
Last column: nearest neighbours and their distance in Å.
Sites, in units of the cell vectors:
Cu (0.5000, 0.5000, 0.0000)  8 Pd 2.69, 2 As 2.87
Pd (0.0000, 0.0000, 0.7524)  4 Cu 2.69, 4 As 2.71, 2 Pd 2.84-2.90
As (0.5000, 0.5000, 0.5000)  8 Pd 2.71, 2 Cu 2.87
Pd (0.0000, 0.0000, 0.2476)  4 Cu 2.69, 4 As 2.71, 2 Pd 2.84-2.90

=====

[12]
Below is crystalline SnTe2Br at its relaxed geometry, with properties calculated at the PBE level.

Output
- energy relative to the lowest polymorph listed for this composition (eV per atom) = 0.275
- ΔE_f (raw) (eV per atom) = 0.17
- V (Å³/cell) = 111

Cell lengths 5.4010, 5.4010, 5.4010 Å; angles 60.00, 60.00, 60.00 degrees
Last column: nearest neighbours and their distance in Å.
Sites, in units of the cell vectors:
Te (0.7500, 0.7500, 0.7500)  4 Sn 3.31, 4 Br 3.31
Br (0.0000, 0.0000, 0.0000)  8 Te 3.31
Sn (0.5000, 0.5000, 0.5000)  8 Te 3.31
Te (0.2500, 0.2500, 0.2500)  4 Sn 3.31, 4 Br 3.31

=====

[13]
Below is crystalline TmMnAgHg at its relaxed geometry, with properties calculated at the PBE level.

Output
- formation energy (eV/atom) = -0.07
- V (Å³/cell) = 83

Cell lengths 4.8895, 4.8895, 4.8895 Å; angles 60.00, 60.00, 60.00 degrees
Last column: nearest neighbours and their distance in Å.
Sites, in units of the cell vectors:
Hg (0.2500, 0.2500, 0.2500)  4 Mn 2.99, 4 Tm 2.99
Mn (0.0000, 0.0000, 0.0000)  4 Ag 2.99, 4 Hg 2.99
Tm (0.5000, 0.5000, 0.5000)  4 Hg 2.99, 4 Ag 2.99
Ag (0.7500, 0.7500, 0.7500)  4 Tm 2.99, 4 Mn 2.99

=====

[14]
Below is crystalline B4C at its relaxed geometry, with properties calculated at the PBE level.

Output
- formation energy (eV/atom) = 0.39
- energy relative to the lowest polymorph listed for this composition (eV per atom) = 0.489
- V (Å³/cell) = 70

Cell lengths 4.9398, 2.8546, 5.0153 Å; angles 90.00, 95.01, 90.00 degrees
Last column: nearest neighbours and their distance in Å.
Sites, in units of the cell vectors:
B (0.3247, 0.0000, 0.9052)  1 B 1.54, 1 C 1.57
B (0.3247, 0.5000, 0.4052)  1 B 1.54, 1 C 1.57
B (0.1859, 0.0000, 0.2168)  6 B 1.76-1.89, 1 C 1.89
B (0.6688, 0.0000, 0.7796)  2 C 1.66, 1 B 1.71
B (0.0117, 0.5000, 0.3663)  2 B 1.54-1.71
B (0.6688, 0.5000, 0.2796)  2 C 1.66, 1 B 1.71
C (0.5544, 0.0000, 0.1423)  3 B 1.57-1.66
C (0.5544, 0.5000, 0.6423)  3 B 1.57-1.66
B (0.0117, 0.0000, 0.8663)  2 B 1.54-1.71
B (0.1859, 0.5000, 0.7168)  6 B 1.76-1.89, 1 C 1.89